Sm2CoGe2: optimized geometry, PBE.

## Properties
Size of the total moment, Bohr magnetons per cell: 0.89
E_tot, eV/atom: -5.856

abc: 4.2684 5.7991 9.3683
angles: 92.51 103.17 68.41
Site moments in Bohr magnetons follow the coordinates.
Element x y z (fractional)
1 Co 0.6405 0.0842 0.3652  0.43
2 Co 0.3595 0.9158 0.6348  0.43
3 Ge 0.6350 0.8563 0.1263  0.00
4 Ge 0.0911 0.2512 0.4335  0.01
5 Ge 0.9089 0.7488 0.5665  0.01
6 Ge 0.3650 0.1437 0.8737  0.00
7 Sm 0.9230 0.2640 0.1100  0.00
8 Sm 0.3278 0.6764 0.3320  0.00
9 Sm 0.6722 0.3236 0.6680  0.00
10 Sm 0.0770 0.7360 0.8900  0.00